! Cs2CrSiO4 (GGA+U, optimized geometry); values from VASP
&SYSTEM
  ibrav = 0, nat = 16, ntyp = 4
/
ATOMIC_SPECIES
Si 28.09 Si.upf
O 16.00 O.upf
Cr 52.00 Cr.upf
Cs 132.91 Cs.upf
ATOMIC_POSITIONS crystal
Si 0.250 0.500 0.500
Si 0.500 0.000 0.000
O 0.406 0.660 0.425
O 0.258 0.160 0.925
O 0.344 0.840 0.075
O 0.582 0.160 0.075
O 0.817 0.840 0.925
O 0.168 0.340 0.425
O 0.492 0.340 0.575
O 0.933 0.660 0.575
Cr 0.750 0.500 0.500
Cr 0.000 0.000 0.000
Cs 0.925 0.500 0.149
Cs 0.175 0.000 0.649
Cs 0.575 0.500 0.851
Cs 0.825 0.000 0.351
CELL_PARAMETERS angstrom
-2.487 1.278 -4.495
-0.349 -5.171 -4.394
-10.707 -2.432 2.117
! V	180	Å³/f.u.
! calculated total energy	-100.63	eV for the cell shown